Entry 1:
Material: Cs2YSbF6
Method: DFT, PBE
State: relaxed

a = 7.456 Å, b = 7.456 Å, c = 6.909 Å
α = 57.34°, β = 57.34°, γ = 90.00°
Sites, in units of the cell vectors:
Y  0.500  0.500  0.000
F  0.294  0.294  0.000
F  0.706  0.294  0.000
F  0.706  0.706  0.000
F  0.750  0.750  0.500
F  0.294  0.706  0.000
F  0.250  0.250  0.500
Cs  0.250  0.750  0.500
Cs  0.750  0.250  0.500
Sb  0.000  0.000  0.000

Output
Crystal system: tetragonal
Symmetry: I4/mmm, No. 139
Raw total energy, eV/atom: -5.18
Theoretical density, Mg/m³: 3.95

Entry 2:
Material: CsZnSbF6
Method: DFT, PBE
State: relaxed

a = 5.856 Å, b = 5.854 Å, c = 6.229 Å
α = 90.11°, β = 89.77°, γ = 59.37°
Sites, in units of the cell vectors:
Zn  0.666  0.666  0.498
Cs  0.001  0.001  0.972
F  0.012  0.568  0.687
F  0.418  0.019  0.686
F  0.685  0.952  0.332
F  0.363  0.685  0.330
F  0.960  0.354  0.336
F  0.562  0.422  0.687
Sb  0.333  0.334  0.473

Output
Crystal system: triclinic
Symmetry: P1, No. 1
Raw total energy, eV/atom: -4.40
Theoretical density, Mg/m³: 3.92

Entry 3:
Material: CsZn2SbF8
Method: DFT, PBE
State: relaxed

a = 5.451 Å, b = 5.451 Å, c = 9.612 Å
α = 73.53°, β = 73.53°, γ = 60.00°
Sites, in units of the cell vectors:
Zn  0.753  0.753  0.741
Zn  0.247  0.247  0.259
F  0.125  0.751  0.655
F  0.531  0.249  0.345
F  0.249  0.875  0.345
F  0.751  0.469  0.655
F  0.685  0.685  0.946
F  0.315  0.315  0.054
F  0.469  0.125  0.655
F  0.875  0.531  0.345
Cs  0.000  0.000  0.000
Sb  0.500  0.500  0.500

Output
Crystal system: trigonal
Symmetry: R32, No. 155
Raw total energy, eV/atom: -4.21
Theoretical density, Mg/m³: 3.82

Entry 4:
Material: Cs2ZrSbF6
Method: DFT, PBE
State: relaxed

a = 7.794 Å, b = 7.794 Å, c = 7.063 Å
α = 56.52°, β = 56.52°, γ = 90.00°
Sites, in units of the cell vectors:
F  0.316  0.316  0.000
F  0.316  0.684  0.000
F  0.266  0.266  0.468
F  0.684  0.684  0.000
F  0.684  0.316  0.000
F  0.734  0.734  0.532
Sb  0.000  0.000  0.000
Cs  0.250  0.750  0.500
Cs  0.750  0.250  0.500
Zr  0.500  0.500  0.000

Output
Crystal system: tetragonal
Symmetry: I4/mmm, No. 139
Raw total energy, eV/atom: -5.25
Theoretical density, Mg/m³: 3.67

Entry 5:
Material: Cs2Sc3F10
Method: DFT, PBE
State: relaxed

a = 6.491 Å, b = 8.620 Å, c = 10.668 Å
α = 111.95°, β = 107.71°, γ = 90.00°
Sites, in units of the cell vectors:
F  0.972  0.794  0.945
F  0.911  0.472  0.279
F  0.479  0.837  0.958
F  0.868  0.259  0.736
F  0.680  0.987  0.791
F  0.500  0.000  0.500
F  0.521  0.163  0.042
F  0.804  0.500  0.000
F  0.320  0.013  0.209
F  0.089  0.528  0.721
F  0.000  0.000  0.500
F  0.028  0.206  0.055
F  0.889  0.013  0.209
F  0.368  0.472  0.279
F  0.769  0.745  0.538
F  0.196  0.500  0.000
F  0.132  0.741  0.264
F  0.231  0.255  0.462
F  0.111  0.987  0.791
F  0.632  0.528  0.721
Sc  0.079  0.473  0.157
Sc  0.921  0.527  0.843
Sc  0.818  0.989  0.636
Sc  0.238  0.000  0.000
Sc  0.762  0.000  0.000
Sc  0.182  0.011  0.364
Cs  0.388  0.277  0.776
Cs  0.612  0.723  0.224
Cs  0.712  0.325  0.424
Cs  0.288  0.675  0.576

Output
Crystal system: monoclinic
Symmetry: C2/m, No. 12
Raw total energy, eV/atom: -6.18
Theoretical density, Mg/m³: 3.75

Entry 6:
Material: CsSc3F
Method: DFT, PBE
State: relaxed

a = 5.360 Å, b = 5.360 Å, c = 5.360 Å
α = 90.00°, β = 90.00°, γ = 90.00°
Sites, in units of the cell vectors:
Sc  0.500  0.000  0.000
Sc  0.000  0.500  0.000
Sc  0.000  0.000  0.500
F  0.500  0.500  0.500
Cs  0.000  0.000  0.000

Output
Excess energy over the best structure of this formula in the dataset, meV/atom: 1421
Crystal system: cubic
Symmetry: Pm-3m, No. 221
Raw total energy, eV/atom: -3.00
Theoretical density, Mg/m³: 3.09

> Look up the theoretical density of the fifth one.

3.75 Mg/m³